No. 1
Entry from Alexandria via LeMat-Bulk: NaSbN3 at its PBEsol-relaxed geometry (SCAN).

```
data_NaSbN3
_chemical_formula_sum 'Na1 Sb1 N3'
_cell_length_a 4.1537
_cell_length_b 4.1537
_cell_length_c 4.1537
_cell_angle_alpha 90.00
_cell_angle_beta 90.00
_cell_angle_gamma 90.00
_symmetry_space_group_name_H-M 'P 1'
_symmetry_Int_Tables_number 1
_symmetry_space_group_name_Hall 'P 1'
loop_
_atom_site_label
_atom_site_type_symbol
_atom_site_fract_x
_atom_site_fract_y
_atom_site_fract_z
Na1 Na 0.0000 0.0000 0.0000
Sb1 Sb 0.5000 0.5000 0.5000
N1 N 0.0000 0.0000 0.5000
N2 N 0.0000 0.5000 0.0000
N3 N 0.5000 0.0000 0.0000
```

Computed properties:
- energy (eV/atom) = -11.655
- E_form (uncorrected) (meV per atom) = 2215
- spin magnetization (μB per atom) = 1.0000

---

No. 2
Entry from Alexandria via LeMat-Bulk: RbTaGeS5 at its PBEsol-relaxed geometry (SCAN).

```
data_RbTaGeS5
_chemical_formula_sum 'Rb2 Ta2 Ge2 S10'
_cell_length_a 6.8866
_cell_length_b 6.9921
_cell_length_c 9.1216
_cell_angle_alpha 69.99
_cell_angle_beta 78.08
_cell_angle_gamma 74.91
_symmetry_space_group_name_H-M 'P 1'
_symmetry_Int_Tables_number 1
_symmetry_space_group_name_Hall 'P 1'
loop_
_atom_site_label
_atom_site_type_symbol
_atom_site_fract_x
_atom_site_fract_y
_atom_site_fract_z
Rb1 Rb 0.0950 0.3706 0.3050
Rb2 Rb 0.9050 0.6294 0.6950
Ta1 Ta 0.2558 0.9854 0.9964
Ta2 Ta 0.7442 0.0146 0.0036
Ge1 Ge 0.4774 0.7075 0.3757
Ge2 Ge 0.5226 0.2925 0.6243
S1 S 0.0664 0.7664 0.9656
S2 S 0.1846 0.8757 0.2917
S3 S 0.2818 0.1129 0.7061
S4 S 0.4260 0.6179 0.6426
S5 S 0.4312 0.2565 0.9845
S6 S 0.5688 0.7435 0.0155
S7 S 0.5740 0.3821 0.3574
S8 S 0.7182 0.8871 0.2939
S9 S 0.8154 0.1243 0.7083
S10 S 0.9336 0.2336 0.0344
```

Computed properties:
- energy (eV/atom) = -20.276
- E_form (uncorrected) (meV per atom) = -957
- spin magnetization (μB per atom) = 0.0000

---

No. 3
Entry from Alexandria via LeMat-Bulk: CuRuW at its PBEsol-relaxed geometry (SCAN).

```
data_CuRuW
_chemical_formula_sum 'Cu1 Ru1 W1'
_cell_length_a 4.7178
_cell_length_b 4.7178
_cell_length_c 4.7178
_cell_angle_alpha 141.35
_cell_angle_beta 141.35
_cell_angle_gamma 55.81
_symmetry_space_group_name_H-M 'P 1'
_symmetry_Int_Tables_number 1
_symmetry_space_group_name_Hall 'P 1'
loop_
_atom_site_label
_atom_site_type_symbol
_atom_site_fract_x
_atom_site_fract_y
_atom_site_fract_z
Cu1 Cu 0.0000 0.0000 0.0000
Ru1 Ru 0.6657 0.6657 0.0000
W1 W 0.3318 0.3318 0.0000
```

Computed properties:
- energy (eV/atom) = -39.735
- spin magnetization (μB per atom) = 0.0000
- E_form (eV/f.u.) = 0.51
- offset from the most stable computed form (eV per atom) = 0.000

---

No. 4
Entry from Alexandria via LeMat-Bulk: RePt3 at its PBEsol-relaxed geometry (SCAN).

```
data_RePt3
_chemical_formula_sum 'Re1 Pt3'
_cell_length_a 4.7561
_cell_length_b 4.7561
_cell_length_c 4.7914
_cell_angle_alpha 99.21
_cell_angle_beta 99.21
_cell_angle_gamma 33.49
_symmetry_space_group_name_H-M 'P 1'
_symmetry_Int_Tables_number 1
_symmetry_space_group_name_Hall 'P 1'
loop_
_atom_site_label
_atom_site_type_symbol
_atom_site_fract_x
_atom_site_fract_y
_atom_site_fract_z
Re1 Re 0.0000 0.0000 0.0000
Pt1 Pt 0.2536 0.2536 0.7585
Pt2 Pt 0.5000 0.5000 0.5000
Pt3 Pt 0.7464 0.7464 0.2415
```

Computed properties:
- energy (eV/atom) = -70.506
- spin magnetization (μB per atom) = 0.0000
- E_form (eV/f.u.) = -0.35

---

No. 5
Entry from Alexandria via LeMat-Bulk: HoTmAg2 at its PBEsol-relaxed geometry (SCAN).

```
data_HoTmAg2
_chemical_formula_sum 'Ho1 Tm1 Ag2'
_cell_length_a 5.0012
_cell_length_b 5.0012
_cell_length_c 5.0012
_cell_angle_alpha 60.00
_cell_angle_beta 60.00
_cell_angle_gamma 60.00
_symmetry_space_group_name_H-M 'P 1'
_symmetry_Int_Tables_number 1
_symmetry_space_group_name_Hall 'P 1'
loop_
_atom_site_label
_atom_site_type_symbol
_atom_site_fract_x
_atom_site_fract_y
_atom_site_fract_z
Ho1 Ho 0.0000 0.0000 0.0000
Tm1 Tm 0.5000 0.5000 0.5000
Ag1 Ag 0.2500 0.2500 0.2500
Ag2 Ag 0.7500 0.7500 0.7500
```

Computed properties:
- energy (eV/atom) = -41.286
- spin magnetization (μB per atom) = 0.0000
- E_form (eV/f.u.) = -1.59

---

No. 6
Entry from Alexandria via LeMat-Bulk: LaTl2Sn at its PBEsol-relaxed geometry (SCAN).

```
data_LaTl2Sn
_chemical_formula_sum 'La1 Tl2 Sn1'
_cell_length_a 5.3993
_cell_length_b 5.3993
_cell_length_c 5.3993
_cell_angle_alpha 60.00
_cell_angle_beta 60.00
_cell_angle_gamma 60.00
_symmetry_space_group_name_H-M 'P 1'
_symmetry_Int_Tables_number 1
_symmetry_space_group_name_Hall 'P 1'
loop_
_atom_site_label
_atom_site_type_symbol
_atom_site_fract_x
_atom_site_fract_y
_atom_site_fract_z
La1 La 0.0000 0.0000 0.0000
Tl1 Tl 0.2500 0.2500 0.2500
Tl2 Tl 0.7500 0.7500 0.7500
Sn1 Sn 0.5000 0.5000 0.5000
```

Computed properties:
- energy (eV/atom) = -56.271
- spin magnetization (μB per atom) = 0.0000
- E_form (eV/f.u.) = -1.34